The following is a PBE calculation of a relaxed structure of TmB2Ir, from Alexandria via LeMat-Bulk.

The energy relative to the elements comes out at -0.4656 eV/atom.

The structure belongs to space group R-3m (No. 166, hexagonal axes); the cell edges are 3.6710, 3.6710 and 13.6039 Å and the angles 90.00°, 90.00° and 120.00°. The distinct sites, in fractional coordinates, are Tm at (0.0000, 0.0000, 0.0000), B at (0.0000, 0.0000, 0.2065) and Ir at (0.0000, 0.0000, 0.5000).

---

The following is a PBE calculation of a relaxed structure of KBS3, from Alexandria via LeMat-Bulk.

Its raw formation energy is -659 meV per atom.

The structure belongs to space group P2_1 (No. 4); the cell edges are 5.297, 8.945 and 6.831 Å and the angles 90.00°, 109.60° and 90.00°. The distinct sites, in fractional coordinates, are K at (0.192, 0.000, 0.387), B at (0.446, 0.704, 0.918), S at (0.330, 0.700, 0.646), S at (0.401, 0.359, 0.903) and S at (0.439, 0.547, 0.095).

---

The following is a PBE calculation of a relaxed structure of Zn2AsRh, from Alexandria via LeMat-Bulk.

The energy relative to the elements comes out at -0.1809 eV/atom.

The structure belongs to space group Cm (No. 8); the cell edges are 8.883, 3.008 and 4.645 Å and the angles 90.00°, 98.84° and 90.00°. The distinct sites, in fractional coordinates, are Zn at (0.000, 0.000, 0.000), Zn at (0.240, 0.000, 0.760), As at (0.272, 0.500, 0.288) and Rh at (0.495, 0.000, 0.515).

---

The following is a PBE calculation of a relaxed structure of La5PmAg, from Alexandria via LeMat-Bulk.

The energy relative to the elements comes out at 0.0123 eV/atom.

The structure belongs to space group C2/c (No. 15); the cell edges are 8.866, 8.728 and 12.669 Å and the angles 90.00°, 104.34° and 90.00°. The distinct sites, in fractional coordinates, are La at (0.000, 0.032, 0.250), La at (0.148, 0.361, 0.064), La at (0.217, 0.326, 0.366), Pm at (0.000, 0.360, 0.750) and Ag at (0.000, 0.000, 0.000).

---

The following is a PBE calculation of a relaxed structure of Y3NiBi, from Alexandria via LeMat-Bulk.

Its energy relative to the lowest polymorph listed for this composition is 0 kJ/mol of formula units. The energy relative to the elements comes out at -0.4453 eV/atom.

The structure belongs to space group Cmmm (No. 65); the cell edges are 7.633, 14.482 and 4.953 Å and the angles 90.00°, 90.00° and 90.00°. The distinct sites, in fractional coordinates, are Y at (0.000, 0.126, 0.000), Y at (0.202, 0.500, 0.500), Y at (0.250, 0.250, 0.500), Ni at (0.000, 0.093, 0.500) and Bi at (0.000, 0.358, 0.000).

---

The following is a PBE calculation of a relaxed structure of LuS2, from Alexandria via LeMat-Bulk.

Its raw formation energy is 60 meV per atom.

The structure belongs to space group Fd-3m (No. 227, origin choice 2); the cell edges are 7.749, 7.749 and 7.749 Å and the angles 90.00°, 90.00° and 90.00°. The distinct sites, in fractional coordinates, are Lu at (0.125, 0.125, 0.125) and S at (0.000, 0.000, 0.500).